1.
The following is a DFT calculation (PBE-GGA) of crystalline Sr3Fe at its relaxed geometry.

a b c (Å): 8.4338 10.5872 7.1148
angles (deg): 90.00 90.00 90.00
Space group Pnma (No. 62)
Unique sites:
Sr: 0.0398 0.2500 0.1391 x4
Sr: 0.1735 0.0647 0.6594 x8
Fe: 0.1321 0.7500 0.4447 x4

Total magnetization ... 8.4 μB/cell
DFT formation energy ... 0.391 eV per atom



2.
The following is a DFT calculation (PBE-GGA) of crystalline SrFe2 at its relaxed geometry.

a b c (Å): 2.9138 20.8132 4.0879
angles (deg): 90.00 90.00 90.00
Space group Cmcm (No. 63)
Unique sites:
Sr: 0.0000 0.1202 0.2500 x4
Fe: 0.0000 0.2410 0.7500 x4
Fe: 0.0000 0.4813 0.2500 x4

Total magnetization ... 17.9 μB/cell
DFT formation energy ... 0.755 eV per atom



3.
The following is a DFT calculation (PBE-GGA) of crystalline Sr5Fe at its relaxed geometry.

a b c (Å): 7.0091 7.0091 6.2549
angles (deg): 90.00 90.00 120.00
Space group P-62m (No. 189)
Unique sites:
Sr: 0.0000 0.6929 0.0000 x3
Sr: 0.3333 0.6667 0.5000 x2
Fe: 0.0000 0.0000 0.5000 x1

Total magnetization ... 2.7 μB/cell
DFT formation energy ... 0.451 eV per atom



4.
The following is a DFT calculation (PBE-GGA) of crystalline SrFe at its relaxed geometry.

a b c (Å): 9.0124 9.0124 9.0124
angles (deg): 90.00 90.00 90.00
Space group I-43m (No. 217)
Unique sites:
Sr: 0.2117 0.2117 0.7883 x8
Fe: 0.0899 0.0899 0.0899 x8

Total magnetization ... 19.6 μB/cell
DFT formation energy ... 0.729 eV per atom



5.
The following is a DFT calculation (PBE-GGA) of crystalline Sr3Fe at its relaxed geometry.

a b c (Å): 11.9745 11.9745 3.8647
angles (deg): 90.00 90.00 120.00
Space group R-3m (No. 166, hexagonal axes)
Unique sites:
Sr: 0.0000 0.5000 0.0000 x9
Fe: 0.0000 0.0000 0.0000 x3

Total magnetization ... 8.7 μB/cell
DFT formation energy ... 0.690 eV per atom



6.
The following is a DFT calculation (PBE-GGA) of crystalline SrFe at its relaxed geometry.

a b c (Å): 6.8662 6.8662 6.8662
angles (deg): 90.00 90.00 90.00
Space group F-43m (No. 216)
Unique sites:
Sr: 0.0000 0.0000 0.0000 x4
Fe: 0.2500 0.2500 0.7500 x4

Total magnetization ... 10.0 μB/cell
DFT formation energy ... 1.633 eV per atom



7.
The following is a DFT calculation (PBE-GGA) of crystalline Sr5Fe at its relaxed geometry.

a b c (Å): 10.6494 10.6494 10.6494
angles (deg): 90.00 90.00 90.00
Space group F-43m (No. 216)
Unique sites:
Sr: 0.0000 0.0000 0.0000 x4
Sr: 0.1245 0.1245 0.6245 x16
Fe: 0.2500 0.2500 0.2500 x4

Total magnetization ... 13.3 μB/cell
DFT formation energy ... 0.743 eV per atom



8.
The following is a DFT calculation (PBE-GGA) of crystalline SrFe at its relaxed geometry.

a b c (Å): 3.8019 4.8585 11.9876
angles (deg): 90.00 90.00 90.00
Space group Imma (No. 74)
Unique sites:
Sr: 0.0000 0.2500 0.1149 x4
Fe: 0.0000 0.2500 0.6960 x4

Total magnetization ... 9.2 μB/cell
DFT formation energy ... 0.517 eV per atom



9.
The following is a DFT calculation (PBE-GGA) of crystalline Sr3Fe at its relaxed geometry.

a b c (Å): 5.3771 5.3771 21.3767
angles (deg): 90.00 90.00 90.00
Space group I4/mmm (No. 139)
Unique sites:
Sr: 0.0000 0.0000 0.1251 x4
Sr: 0.0000 0.5000 0.0000 x4
Sr: 0.0000 0.5000 0.2500 x4
Fe: 0.0000 0.0000 0.3677 x4

Total magnetization ... 10.0 μB/cell
DFT formation energy ... 0.618 eV per atom



10.
The following is a DFT calculation (PBE-GGA) of crystalline Sr5Fe at its relaxed geometry.

a b c (Å): 14.0718 4.0938 10.0476
angles (deg): 90.00 112.30 90.00
Space group C2/m (No. 12)
Unique sites:
Sr: 0.0000 0.0000 0.0000 x2
Sr: 0.1220 0.5000 0.3780 x4
Sr: 0.1713 0.5000 0.7847 x4
Fe: 0.0000 0.0000 0.5000 x2

Total magnetization ... 4.7 μB/cell
DFT formation energy ... 0.303 eV per atom



11.
The following is a DFT calculation (PBE-GGA) of crystalline SrFe2 at its relaxed geometry.

a b c (Å): 7.0142 7.0142 7.0142
angles (deg): 90.00 90.00 90.00
Space group Pa-3 (No. 205)
Unique sites:
Sr: 0.0000 0.0000 0.0000 x4
Fe: 0.0852 0.5852 0.9148 x8

Total magnetization ... 23.6 μB/cell
DFT formation energy ... 1.523 eV per atom



12.
The following is a DFT calculation (PBE-GGA) of crystalline Sr6Fe7 at its relaxed geometry.

a b c (Å): 6.4220 6.4220 29.6896
angles (deg): 90.00 90.00 120.00
Space group R-3m (No. 166, hexagonal axes)
Unique sites:
Sr: 0.0000 0.0000 0.0631 x6
Sr: 0.0000 0.0000 0.1754 x6
Sr: 0.0000 0.0000 0.3213 x6
Fe: 0.0000 0.0000 0.5000 x3
Fe: 0.0967 0.5483 0.0937 x18

Total magnetization ... 54.6 μB/cell
DFT formation energy ... 0.507 eV per atom



13.
The following is a DFT calculation (PBE-GGA) of crystalline SrFe at its relaxed geometry.

a b c (Å): 3.7424 3.7424 9.0692
angles (deg): 90.00 90.00 120.00
Space group P-3m1 (No. 164)
Unique sites:
Sr: 0.3333 0.6667 0.2098 x2
Fe: 0.3333 0.6667 0.5231 x2

Total magnetization ... 0.0 μB/cell
DFT formation energy ... 0.578 eV per atom



14.
The following is a DFT calculation (PBE-GGA) of crystalline SrFe at its relaxed geometry.

a b c (Å): 11.8923 3.9659 7.5441
angles (deg): 90.00 99.77 90.00
Space group Cm (No. 8)
Unique sites:
Sr: 0.0000 0.0000 0.0000 x2
Sr: 0.0677 0.0000 0.5703 x2
Sr: 0.2952 0.0000 0.2643 x2
Fe: 0.2224 0.5000 0.8835 x2
Fe: 0.2907 0.5000 0.6229 x2
Fe: 0.3157 0.0000 0.7978 x2

Total magnetization ... 14.5 μB/cell
DFT formation energy ... 0.408 eV per atom



15.
The following is a DFT calculation (PBE-GGA) of crystalline SrFe2 at its relaxed geometry.

a b c (Å): 4.8005 4.8005 10.8189
angles (deg): 90.00 90.00 90.00
Space group I4/mcm (No. 140)
Unique sites:
Sr: 0.0000 0.0000 0.2500 x4
Fe: 0.1814 0.3186 0.0000 x8

Total magnetization ... 18.7 μB/cell
DFT formation energy ... 0.511 eV per atom



16.
The following is a DFT calculation (PBE-GGA) of crystalline SrFe2 at its relaxed geometry.

a b c (Å): 3.8027 6.3866 11.3881
angles (deg): 90.00 90.00 90.00
Space group Immm (No. 71)
Unique sites:
Sr: 0.0000 0.0000 0.1695 x4
Fe: 0.0000 0.1808 0.5000 x4
Fe: 0.0000 0.5000 0.0976 x4

Total magnetization ... 20.9 μB/cell
DFT formation energy ... 0.459 eV per atom



17.
The following is a DFT calculation (PBE-GGA) of crystalline Sr4Fe at its relaxed geometry.

a b c (Å): 6.0903 6.0903 6.0903
angles (deg): 90.00 90.00 90.00
Space group Pm-3m (No. 221)
Unique sites:
Sr: 0.0000 0.0000 0.0000 x1
Sr: 0.0000 0.5000 0.5000 x3
Fe: 0.5000 0.5000 0.5000 x1

Total magnetization ... 2.2 μB/cell
DFT formation energy ... 0.311 eV per atom



18.
The following is a DFT calculation (PBE-GGA) of crystalline SrTa2Fe at its relaxed geometry.

a b c (Å): 10.9585 3.0205 5.3416
angles (deg): 90.00 110.24 90.00
Space group C2/m (No. 12)
Unique sites:
Sr: 0.0000 0.0000 0.0000 x2
Ta: 0.1947 0.0000 0.6625 x4
Fe: 0.0000 0.5000 0.5000 x2

Total magnetization ... 0.0 μB/cell
DFT formation energy ... 0.617 eV per atom



19.
The following is a DFT calculation (PBE-GGA) of crystalline SrTa2Fe at its relaxed geometry.

a b c (Å): 6.6152 6.6152 6.6152
angles (deg): 90.00 90.00 90.00
Space group Fm-3m (No. 225)
Unique sites:
Sr: 0.0000 0.0000 0.0000 x4
Ta: 0.2500 0.2500 0.2500 x8
Fe: 0.0000 0.0000 0.5000 x4

Total magnetization ... 0.0 μB/cell
DFT formation energy ... 1.133 eV per atom



20.
The following is a DFT calculation (PBE-GGA) of crystalline Sr2TaFe at its relaxed geometry.

a b c (Å): 11.5959 11.5959 4.4851
angles (deg): 90.00 90.00 90.00
Space group I-42d (No. 122)
Unique sites:
Sr: 0.0761 0.2500 0.1250 x8
Ta: 0.0000 0.0000 0.5000 x4
Fe: 0.0000 0.0000 0.0000 x4

Total magnetization ... 0.7 μB/cell
DFT formation energy ... 0.938 eV per atom



21.
The following is a DFT calculation (PBE-GGA) of crystalline SrTa2Fe at its relaxed geometry.

a b c (Å): 3.1710 4.7285 5.3755
angles (deg): 90.00 90.00 90.00
Space group Pmmm (No. 47)
Unique sites:
Sr: 0.0000 0.0000 0.0000 x1
Ta: 0.0000 0.5000 0.5000 x1
Ta: 0.5000 0.0000 0.5000 x1
Fe: 0.5000 0.5000 0.0000 x1

Total magnetization ... 1.7 μB/cell
DFT formation energy ... 0.983 eV per atom



22.
The following is a DFT calculation (PBE-GGA) of crystalline Sr2TaFe at its relaxed geometry.

a b c (Å): 7.0673 4.1053 9.3200
angles (deg): 90.00 105.41 90.00
Space group Cm (No. 8)
Unique sites:
Sr: 0.0000 0.0000 0.0000 x2
Sr: 0.1900 0.0000 0.5462 x2
Ta: 0.2604 0.5000 0.2711 x2
Fe: 0.4298 0.0000 0.2810 x2

Total magnetization ... 0.0 μB/cell
DFT formation energy ... 0.452 eV per atom



23.
The following is a DFT calculation (PBE-GGA) of crystalline Sr3TaFe at its relaxed geometry.

a b c (Å): 5.5531 5.5531 5.5531
angles (deg): 90.00 90.00 90.00
Space group Pm-3m (No. 221)
Unique sites:
Sr: 0.0000 0.0000 0.5000 x3
Ta: 0.5000 0.5000 0.5000 x1
Fe: 0.0000 0.0000 0.0000 x1

Total magnetization ... 4.1 μB/cell
DFT formation energy ... 1.401 eV per atom



24.
The following is a DFT calculation (PBE-GGA) of crystalline SrTa2Fe at its relaxed geometry.

a b c (Å): 5.6071 10.2852 2.7923
angles (deg): 90.00 90.00 90.00
Space group Cmmm (No. 65)
Unique sites:
Sr: 0.0000 0.0000 0.0000 x2
Ta: 0.2500 0.2500 0.5000 x4
Fe: 0.0000 0.5000 0.0000 x2

Total magnetization ... 4.5 μB/cell
DFT formation energy ... 1.081 eV per atom



25.
The following is a DFT calculation (PBE-GGA) of crystalline Sr2TaFe at its relaxed geometry.

a b c (Å): 6.4071 10.2213 3.1665
angles (deg): 90.00 90.00 90.00
Space group Cmmm (No. 65)
Unique sites:
Sr: 0.2500 0.2500 0.0000 x4
Ta: 0.0000 0.0000 0.5000 x2
Fe: 0.0000 0.5000 0.5000 x2

Total magnetization ... 3.4 μB/cell
DFT formation energy ... 1.173 eV per atom



26.
The following is a DFT calculation (PBE-GGA) of crystalline SrTa2Fe at its relaxed geometry.

a b c (Å): 4.9498 4.9498 3.0711
angles (deg): 90.00 90.00 90.00
Space group P4/mmm (No. 123)
Unique sites:
Sr: 0.0000 0.0000 0.0000 x1
Ta: 0.0000 0.5000 0.5000 x2
Fe: 0.5000 0.5000 0.0000 x1

Total magnetization ... 1.2 μB/cell
DFT formation energy ... 1.293 eV per atom



27.
The following is a DFT calculation (PBE-GGA) of crystalline Sr2TaFe at its relaxed geometry.

a b c (Å): 3.4179 3.4164 9.5880
angles (deg): 90.00 90.28 90.00
Space group Pm (No. 6)
Unique sites:
Sr: 0.0000 0.0000 0.0000 x1
Sr: 0.4925 0.5000 0.3922 x1
Ta: 0.9964 0.0000 0.6631 x1
Fe: 0.4977 0.5000 0.7496 x1

Total magnetization ... 1.0 μB/cell
DFT formation energy ... 0.446 eV per atom